{
  "formula": "BeAuNO",
  "functional": "PBE-GGA",
  "state": "relaxed",
  "de_polymorph_mev_per_atom": 230,
  "lattice": [[-2.6926, 3.2257, 1.5289], [-4.0463, -1.6554, -3.6419], [-2.4533, -4.2570, 4.6607]],
  "species": ["Be", "Be", "Be", "Be", "N", "N", "N", "N", "Au", "Au", "Au", "Au", "O", "O", "O", "O"],
  "frac_coords": [[0.0013, 0.1104, 0.9098], [0.5013, 0.8897, 0.0902], [0.5013, 0.3896, 0.9098], [0.0013, 0.6104, 0.0902], [0.9012, 0.8980, 0.0658], [0.9011, 0.3980, 0.9342], [0.4011, 0.1020, 0.9343], [0.4011, 0.6020, 0.0657], [0.9499, 0.5070, 0.6544], [0.4498, 0.9931, 0.6544], [0.9499, 0.0070, 0.3456], [0.4498, 0.4931, 0.3456], [0.4453, 0.4794, 0.6727], [0.4453, 0.9794, 0.3273], [0.9453, 0.0204, 0.6728], [0.9453, 0.5204, 0.3272]]
}